1.
Zr2B6Ir: optimized geometry, PBE.

Cell and atoms, written as POSCAR:
```
Zr2B6Ir
1.0
9.0743 0.0000 0.0000
0.0000 11.3236 0.0000
0.0000 0.0000 3.4677
Zr B Ir
8 24 4
direct
0.0542 0.1276 0.0000 Zr
0.1796 0.4107 0.0000 Zr
0.3204 0.9107 0.0000 Zr
0.4458 0.6276 0.0000 Zr
0.5542 0.3724 0.0000 Zr
0.6796 0.0893 0.0000 Zr
0.8204 0.5893 0.0000 Zr
0.9458 0.8724 0.0000 Zr
0.0220 0.2886 0.5000 B
0.0512 0.5629 0.5000 B
0.1060 0.9710 0.5000 B
0.1330 0.8181 0.5000 B
0.2016 0.2390 0.5000 B
0.2483 0.0768 0.5000 B
0.2517 0.5768 0.5000 B
0.2984 0.7390 0.5000 B
0.3670 0.3181 0.5000 B
0.3940 0.4710 0.5000 B
0.4488 0.0629 0.5000 B
0.4780 0.7886 0.5000 B
0.5220 0.2114 0.5000 B
0.5512 0.9371 0.5000 B
0.6060 0.5290 0.5000 B
0.6330 0.6819 0.5000 B
0.7016 0.2610 0.5000 B
0.7483 0.4232 0.5000 B
0.7517 0.9232 0.5000 B
0.7984 0.7610 0.5000 B
0.8670 0.1819 0.5000 B
0.8940 0.0290 0.5000 B
0.9488 0.4371 0.5000 B
0.9780 0.7114 0.5000 B
0.1411 0.6763 0.0000 Ir
0.3589 0.1763 0.0000 Ir
0.6411 0.8237 0.0000 Ir
0.8589 0.3237 0.0000 Ir
```

Output
The calculation puts the raw total energy at -8.0086 eV per atom. The value obtained for the magnetic moment is 0.0 μB/cell.


2.
KLi2TmB2O6: optimized geometry, PBE.

Cell and atoms, written as POSCAR:
```
KLi2TmB2O6
1.0
6.6115 0.0000 0.0000
0.0000 9.2227 0.0000
-4.6981 0.0000 8.6984
K Li Tm B O
4 8 4 8 24
direct
0.1604 0.1249 0.0860 K
0.1604 0.3751 0.5860 K
0.8396 0.6249 0.4140 K
0.8396 0.8751 0.9140 K
0.3642 0.1142 0.4500 Li
0.3642 0.3858 0.9500 Li
0.4247 0.6158 0.5064 Li
0.4247 0.8842 0.0064 Li
0.5753 0.1158 0.9936 Li
0.5753 0.3842 0.4936 Li
0.6358 0.6142 0.0500 Li
0.6358 0.8858 0.5500 Li
0.1962 0.6165 0.1585 Tm
0.1962 0.8835 0.6585 Tm
0.8038 0.1165 0.3415 Tm
0.8038 0.3835 0.8415 Tm
0.1113 0.1412 0.7607 B
0.1113 0.3588 0.2607 B
0.4153 0.6301 0.7834 B
0.4153 0.8699 0.2834 B
0.5847 0.1301 0.7166 B
0.5847 0.3699 0.2166 B
0.8887 0.6412 0.7393 B
0.8887 0.8588 0.2393 B
0.0008 0.1042 0.6043 O
0.0008 0.3958 0.1043 O
0.0890 0.2252 0.3154 O
0.0890 0.2748 0.8154 O
0.2593 0.0355 0.8578 O
0.2593 0.4645 0.3578 O
0.2851 0.6522 0.6275 O
0.2851 0.8478 0.1275 O
0.4513 0.7504 0.3759 O
0.4513 0.7496 0.8759 O
0.4910 0.5035 0.1505 O
0.4910 0.9965 0.6505 O
0.5090 0.0035 0.3495 O
0.5090 0.4965 0.8495 O
0.5487 0.2504 0.1241 O
0.5487 0.2496 0.6241 O
0.7149 0.1522 0.8725 O
0.7149 0.3478 0.3725 O
0.7407 0.5355 0.6422 O
0.7407 0.9645 0.1422 O
0.9110 0.7252 0.1846 O
0.9110 0.7748 0.6846 O
0.9992 0.6042 0.8957 O
0.9992 0.8958 0.3957 O
```

Output
The calculation puts the raw total energy at -6.9748 eV per atom. The value obtained for the magnetic moment is 0.0 μB/cell.


3.
KLuB: optimized geometry, PBE.

Cell and atoms, written as POSCAR:
```
KLuB
1.0
0.0000 3.2451 3.2451
3.2451 0.0000 3.2451
3.2451 3.2451 0.0000
K Lu B
1 1 1
direct
0.0000 0.0000 0.0000 K
0.7500 0.7500 0.7500 Lu
0.5000 0.5000 0.5000 B
```

Output
The value obtained for the magnetic moment is 0.7 μB/cell. For the energy above the most stable polymorph in this dataset, the calculation gives 0.000 eV per atom.


4.
KBMo: optimized geometry, PBE.

Cell and atoms, written as POSCAR:
```
KBMo
1.0
0.0000 3.0125 3.0125
3.0125 0.0000 3.0125
3.0125 3.0125 0.0000
K B Mo
1 1 1
direct
0.0000 0.0000 0.0000 K
0.2500 0.2500 0.2500 B
0.5000 0.5000 0.5000 Mo
```

Output
The value obtained for the magnetic moment is 2.0 μB/cell. For the energy above the most stable polymorph in this dataset, the calculation gives 0.000 eV per atom.


5.
KBMo: optimized geometry, PBE.

Cell and atoms, written as POSCAR:
```
KBMo
1.0
0.0000 3.0319 3.0319
3.0319 0.0000 3.0319
3.0319 3.0319 0.0000
K B Mo
1 1 1
direct
0.0000 0.0000 0.0000 K
0.5000 0.5000 0.5000 B
0.7500 0.7500 0.7500 Mo
```

Output
The value obtained for the magnetic moment is 2.0 μB/cell. For the energy above the most stable polymorph in this dataset, the calculation gives 0.183 eV per atom.


6.
KBMo: optimized geometry, PBE.

Cell and atoms, written as POSCAR:
```
KBMo
1.0
0.0000 3.2282 3.2282
3.2282 0.0000 3.2282
3.2282 3.2282 0.0000
K B Mo
1 1 1
direct
0.0000 0.0000 0.0000 K
0.7500 0.7500 0.7500 B
0.2500 0.2500 0.2500 Mo
```

Output
The value obtained for the magnetic moment is 2.8 μB/cell. For the energy above the most stable polymorph in this dataset, the calculation gives 1.046 eV per atom.


7.
K2NaZnB5O10: optimized geometry, PBE.

Cell and atoms, written as POSCAR:
```
K2NaZnB5O10
1.0
3.9608 -6.4072 0.0000
3.9608 6.4072 0.0000
-3.1715 0.0000 18.6823
K Na Zn B O
8 4 4 20 40
direct
0.0340 0.8871 0.5796 K
0.1129 0.9660 0.9204 K
0.3219 0.4856 0.0637 K
0.4856 0.3219 0.5637 K
0.5144 0.6781 0.4363 K
0.6781 0.5144 0.9363 K
0.8871 0.0340 0.0796 K
0.9660 0.1129 0.4204 K
0.1517 0.8483 0.2500 Na
0.3487 0.6513 0.7500 Na
0.6513 0.3487 0.2500 Na
0.8483 0.1517 0.7500 Na
0.1350 0.4631 0.8948 Zn
0.4631 0.1350 0.3948 Zn
0.5369 0.8650 0.6052 Zn
0.8650 0.5369 0.1052 Zn
0.0629 0.5044 0.3336 B
0.0695 0.4007 0.2032 B
0.1333 0.8057 0.4231 B
0.1781 0.5057 0.5795 B
0.1943 0.8667 0.0769 B
0.2337 0.2956 0.2959 B
0.2956 0.2337 0.7959 B
0.4007 0.0695 0.7032 B
0.4943 0.8219 0.9205 B
0.4956 0.9371 0.1664 B
0.5044 0.0629 0.8336 B
0.5057 0.1781 0.0795 B
0.5993 0.9305 0.2968 B
0.7044 0.7663 0.2041 B
0.7663 0.7044 0.7041 B
0.8057 0.1333 0.9231 B
0.8219 0.4943 0.4205 B
0.8667 0.1943 0.5769 B
0.9305 0.5993 0.7968 B
0.9371 0.4956 0.6664 B
0.0040 0.7485 0.0458 O
0.0136 0.4936 0.2567 O
0.0216 0.4014 0.1338 O
0.0488 0.3041 0.5505 O
0.1272 0.5926 0.6365 O
0.1772 0.7170 0.3650 O
0.1791 0.2978 0.2228 O
0.1852 0.3999 0.3484 O
0.1882 0.3300 0.8108 O
0.2515 0.9960 0.4542 O
0.2830 0.8228 0.1350 O
0.2978 0.1791 0.7228 O
0.3041 0.0488 0.0505 O
0.3300 0.1882 0.3108 O
0.3489 0.6006 0.5521 O
0.3994 0.6511 0.9479 O
0.3999 0.1852 0.8484 O
0.4014 0.0216 0.6338 O
0.4074 0.8728 0.8635 O
0.4936 0.0136 0.7567 O
0.5064 0.9864 0.2433 O
0.5926 0.1272 0.1365 O
0.5986 0.9784 0.3662 O
0.6001 0.8148 0.1516 O
0.6006 0.3489 0.0521 O
0.6511 0.3994 0.4479 O
0.6700 0.8118 0.6892 O
0.6959 0.9512 0.9495 O
0.7022 0.8209 0.2772 O
0.7170 0.1772 0.8650 O
0.7485 0.0040 0.5458 O
0.8118 0.6700 0.1892 O
0.8148 0.6001 0.6516 O
0.8209 0.7022 0.7772 O
0.8228 0.2830 0.6350 O
0.8728 0.4074 0.3635 O
0.9512 0.6959 0.4495 O
0.9784 0.5986 0.8662 O
0.9864 0.5064 0.7433 O
0.9960 0.2515 0.9542 O
```

Output
The calculation puts the raw total energy at -6.8878 eV per atom.


8.
KNaB2Pt6: optimized geometry, PBE.

Cell and atoms, written as POSCAR:
```
KNaB2Pt6
1.0
5.6895 0.0000 0.0000
-2.8447 4.9272 0.0000
0.0000 0.0000 5.5892
K Na B Pt
1 1 2 6
direct
0.0000 0.0000 0.0000 K
0.0000 0.0000 0.5000 Na
0.3333 0.6667 0.5000 B
0.6667 0.3333 0.5000 B
0.0000 0.5000 0.2459 Pt
0.0000 0.5000 0.7541 Pt
0.5000 0.0000 0.2459 Pt
0.5000 0.0000 0.7541 Pt
0.5000 0.5000 0.2459 Pt
0.5000 0.5000 0.7541 Pt
```

Output
The value obtained for the magnetic moment is 0.0 μB/cell. For the energy above the most stable polymorph in this dataset, the calculation gives 0.011 eV per atom.


Summary of density in g/cm³
8.19 4.25 5.46 4.43 4.35 3.60 2.67 13.29
(order as listed above)